[1]
This record from Alexandria describes CoBr after structural relaxation. The functional is GGA-PBE.

Output
The space-group type is R-3m (166). Its formation energy (no corrections) is 0.10 eV per atom. As for the uncorrected energy: -8.571 eV per formula unit. The excess energy over the best structure of this formula in the dataset is 217.9 meV per atom. The calculation puts the total magnetization at 1.01 μB per atom.

```
CoBr
1.0
3.694 0.000 0.000
-1.847 3.199 0.000
0.000 0.000 22.832
Co Br
6 6
direct
0.000 0.000 0.187 Co
0.000 0.000 0.813 Co
0.333 0.667 0.479 Co
0.333 0.667 0.854 Co
0.667 0.333 0.146 Co
0.667 0.333 0.521 Co
0.000 0.000 0.417 Br
0.000 0.000 0.583 Br
0.333 0.667 0.084 Br
0.333 0.667 0.249 Br
0.667 0.333 0.751 Br
0.667 0.333 0.916 Br
```



[2]
This record from Alexandria describes V2SnSe2 after structural relaxation. The functional is GGA-PBE.

Output
The space-group type is I4/mmm (139). Its formation energy (no corrections) is -0.31 eV per atom. As for the uncorrected energy: -30.744 eV per formula unit. The excess energy over the best structure of this formula in the dataset is 0.0 meV per atom. The calculation puts the total magnetization at 0.00 μB per atom.

```
V2SnSe2
1.0
3.550 0.000 0.000
0.000 3.550 0.000
0.000 0.000 17.373
V Sn Se
4 2 4
direct
0.000 0.500 0.250 V
0.000 0.500 0.750 V
0.500 0.000 0.250 V
0.500 0.000 0.750 V
0.000 0.000 0.000 Sn
0.500 0.500 0.500 Sn
0.000 0.000 0.352 Se
0.000 0.000 0.648 Se
0.500 0.500 0.148 Se
0.500 0.500 0.852 Se
```



[3]
This record from Alexandria describes TbPmTm2As4 after structural relaxation. The functional is GGA-PBE.

Output
The formation energy comes out at -1514 meV/atom. The space-group type is P2/m (10). As for the uncorrected energy: -49.034 eV per formula unit. The calculation puts the total magnetization at 0.00 μB per atom.

```
TbPmTm2As4
1.0
7.144 0.000 0.000
0.000 4.130 0.000
-2.384 0.000 6.739
Tb Pm Tm As
1 1 2 4
direct
0.000 0.000 0.000 Tb
0.000 0.500 0.500 Pm
0.500 0.000 0.500 Tm
0.500 0.500 0.000 Tm
0.257 0.500 0.250 As
0.259 0.000 0.756 As
0.741 0.000 0.244 As
0.743 0.500 0.750 As
```



[4]
This record from Alexandria describes Sr2Nb3O10 after structural relaxation. The functional is GGA-PBE.

Output
The space-group type is C2/m (12). Its formation energy (no corrections) is -2.56 eV per atom. As for the uncorrected energy: -121.584 eV per formula unit. The calculation puts the total magnetization at 0.07 μB per atom.

```
Sr2Nb3O10
1.0
9.382 -3.057 0.000
9.382 3.057 0.000
-3.069 0.000 7.320
Sr Nb O
4 6 20
direct
0.105 0.105 0.187 Sr
0.214 0.214 0.845 Sr
0.786 0.786 0.155 Sr
0.895 0.895 0.813 Sr
0.243 0.757 0.500 Nb
0.314 0.314 0.461 Nb
0.418 0.418 0.029 Nb
0.582 0.582 0.971 Nb
0.686 0.686 0.539 Nb
0.757 0.243 0.500 Nb
0.000 0.500 0.500 O
0.015 0.015 0.676 O
0.116 0.590 0.028 O
0.154 0.626 0.466 O
0.257 0.257 0.212 O
0.281 0.719 0.000 O
0.364 0.364 0.753 O
0.374 0.846 0.534 O
0.410 0.884 0.972 O
0.477 0.477 0.315 O
0.500 0.000 0.500 O
0.523 0.523 0.685 O
0.590 0.116 0.028 O
0.626 0.154 0.466 O
0.636 0.636 0.247 O
0.719 0.281 0.000 O
0.743 0.743 0.788 O
0.846 0.374 0.534 O
0.884 0.410 0.972 O
0.985 0.985 0.324 O
```



[5]
This record from Alexandria describes YPuO4 after structural relaxation. The functional is GGA-PBE.

Output
The space-group type is I4_1/amd (141). Its formation energy (no corrections) is -3.14 eV per atom. As for the uncorrected energy: -59.459 eV per formula unit. The calculation puts the total magnetization at 0.50 μB per atom.

```
YPuO4
1.0
-2.676 2.676 5.335
2.676 -2.676 5.335
2.676 2.676 -5.335
Y Pu O
2 2 8
direct
0.375 0.625 0.750 Y
0.625 0.375 0.250 Y
0.125 0.875 0.250 Pu
0.875 0.125 0.750 Pu
0.000 0.237 0.237 O
0.000 0.763 0.763 O
0.237 0.000 0.737 O
0.237 0.500 0.237 O
0.500 0.237 0.737 O
0.500 0.763 0.263 O
0.763 0.000 0.263 O
0.763 0.500 0.763 O
```



[6]
This record from Alexandria describes Tb2CeNd after structural relaxation. The functional is GGA-PBE.

Output
The formation energy comes out at 74 meV/atom. The space-group type is P4/mmm (123). As for the uncorrected energy: -19.666 eV per formula unit. The excess energy over the best structure of this formula in the dataset is 14.4 meV per atom. The calculation puts the total magnetization at 0.16 μB per atom.

```
Tb2CeNd
1.0
5.074 0.000 0.000
0.000 5.074 0.000
0.000 0.000 5.020
Tb Ce Nd
2 1 1
direct
0.000 0.500 0.000 Tb
0.500 0.000 0.000 Tb
0.000 0.000 0.500 Ce
0.500 0.500 0.500 Nd
```



[7]
This record from Alexandria describes Co5Re after structural relaxation. The functional is GGA-PBE.

Output
The formation energy comes out at 65 meV/atom. The space-group type is P4/mmm (123). As for the uncorrected energy: -47.590 eV per formula unit. The excess energy over the best structure of this formula in the dataset is 34.8 meV per atom. The calculation puts the total magnetization at 1.15 μB per atom.

```
Co5Re
1.0
2.586 0.000 0.000
0.000 2.586 0.000
0.000 0.000 10.376
Co Re
5 1
direct
0.000 0.000 0.000 Co
0.000 0.000 0.321 Co
0.000 0.000 0.679 Co
0.500 0.500 0.161 Co
0.500 0.500 0.839 Co
0.500 0.500 0.500 Re
```



[8]
This record from Alexandria describes K2InW after structural relaxation. The functional is GGA-PBE.

Output
The formation energy comes out at 1162 meV/atom. The space-group type is P2/m (10). As for the uncorrected energy: -13.239 eV per formula unit. The calculation puts the total magnetization at 0.23 μB per atom.

```
K2InW
1.0
2.998 0.000 0.000
0.000 6.214 0.000
-0.306 0.000 5.475
K In W
2 1 1
direct
0.247 0.000 0.252 K
0.753 0.000 0.748 K
0.500 0.500 0.000 In
0.000 0.500 0.500 W
```



What is the uncorrected energy in the third record? -49.034 eV per formula unit